Record 1
# GGA-PBE HoMgPt, relaxed
data_HoMgPt
_chemical_formula_sum 'Ho1 Mg1 Pt1'
_cell_length_a 3.585
_cell_length_b 4.559
_cell_length_c 4.559
_cell_angle_alpha 120.00
_cell_angle_beta 90.00
_cell_angle_gamma 90.00
_symmetry_space_group_name_H-M 'P 1'
_symmetry_Int_Tables_number 1
_symmetry_space_group_name_Hall 'P 1'
loop_
_atom_site_label
_atom_site_fract_x
_atom_site_fract_y
_atom_site_fract_z
_atom_site_occupancy
Ho1 0.667 0.667 0.333 1
Mg1 0.167 0.333 0.667 1
Pt1 0.166 0.000 0.000 1
# Symmetry ... No. 187
# Fermi-level density of states ... 2.7 states/eV/cell

---

Record 2
# GGA-PBE Ho8Mg2Pt, relaxed
data_Ho8Mg2Pt
_chemical_formula_sum 'Ho8 Mg2 Pt1'
_cell_length_a 5.395
_cell_length_b 7.006
_cell_length_c 9.174
_cell_angle_alpha 109.83
_cell_angle_beta 107.10
_cell_angle_gamma 90.00
_symmetry_space_group_name_H-M 'P 1'
_symmetry_Int_Tables_number 1
_symmetry_space_group_name_Hall 'P 1'
loop_
_atom_site_label
_atom_site_fract_x
_atom_site_fract_y
_atom_site_fract_z
_atom_site_occupancy
Ho1 0.016 0.778 0.033 1
Ho2 0.650 0.939 0.299 1
Ho3 0.984 0.222 0.967 1
Ho4 0.598 0.420 0.195 1
Ho5 0.402 0.580 0.805 1
Ho6 0.196 0.269 0.393 1
Ho7 0.350 0.061 0.701 1
Ho8 0.804 0.731 0.607 1
Mg1 0.818 0.302 0.636 1
Mg2 0.182 0.698 0.364 1
Pt1 0.500 0.000 0.000 1
# Symmetry ... No. 12
# Fermi-level density of states ... 10.9 states/eV/cell

---

Record 3
# GGA-PBE Ho5MgPt4, relaxed
data_Ho5MgPt4
_chemical_formula_sum 'Ho5 Mg1 Pt4'
_cell_length_a 4.743
_cell_length_b 6.844
_cell_length_c 10.395
_cell_angle_alpha 132.31
_cell_angle_beta 103.19
_cell_angle_gamma 90.00
_symmetry_space_group_name_H-M 'P 1'
_symmetry_Int_Tables_number 1
_symmetry_space_group_name_Hall 'P 1'
loop_
_atom_site_label
_atom_site_fract_x
_atom_site_fract_y
_atom_site_fract_z
_atom_site_occupancy
Ho1 0.161 0.324 0.321 1
Ho2 0.839 0.676 0.679 1
Ho3 0.167 0.835 0.334 1
Ho4 0.500 0.500 0.000 1
Ho5 0.833 0.165 0.666 1
Pt1 0.008 0.264 0.015 1
Pt2 0.992 0.736 0.985 1
Pt3 0.671 0.089 0.341 1
Pt4 0.329 0.911 0.659 1
Mg1 0.500 0.000 0.000 1
# Symmetry ... No. 12
# Fermi-level density of states ... 6.6 states/eV/cell

---

Record 4
# GGA-PBE Ho6Mg2Pt, relaxed
data_Ho6Mg2Pt
_chemical_formula_sum 'Ho12 Mg4 Pt2'
_cell_length_a 6.461
_cell_length_b 7.694
_cell_length_c 10.565
_cell_angle_alpha 90.00
_cell_angle_beta 77.57
_cell_angle_gamma 90.00
_symmetry_space_group_name_H-M 'P 1'
_symmetry_Int_Tables_number 1
_symmetry_space_group_name_Hall 'P 1'
loop_
_atom_site_label
_atom_site_fract_x
_atom_site_fract_y
_atom_site_fract_z
_atom_site_occupancy
Ho1 0.636 0.212 0.531 1
Ho2 0.858 0.967 0.253 1
Ho3 0.358 0.533 0.753 1
Ho4 0.142 0.033 0.747 1
Ho5 0.661 0.160 0.993 1
Ho6 0.364 0.788 0.469 1
Ho7 0.136 0.288 0.031 1
Ho8 0.642 0.467 0.247 1
Ho9 0.339 0.840 0.007 1
Ho10 0.839 0.660 0.507 1
Ho11 0.161 0.340 0.493 1
Ho12 0.864 0.712 0.969 1
Pt1 0.500 0.500 0.000 1
Pt2 0.000 0.000 0.500 1
Mg1 0.345 0.087 0.264 1
Mg2 0.155 0.587 0.236 1
Mg3 0.655 0.913 0.736 1
Mg4 0.845 0.413 0.764 1
# Symmetry ... No. 14
# Fermi-level density of states ... 21.1 states/eV/cell

---

Record 5
# GGA-PBE HoMgPt, relaxed
data_HoMgPt
_chemical_formula_sum 'Ho1 Mg1 Pt1'
_cell_length_a 4.669
_cell_length_b 4.669
_cell_length_c 4.669
_cell_angle_alpha 60.00
_cell_angle_beta 60.00
_cell_angle_gamma 60.00
_symmetry_space_group_name_H-M 'P 1'
_symmetry_Int_Tables_number 1
_symmetry_space_group_name_Hall 'P 1'
loop_
_atom_site_label
_atom_site_fract_x
_atom_site_fract_y
_atom_site_fract_z
_atom_site_occupancy
Pt1 0.250 0.250 0.250 1
Ho1 0.000 0.000 0.000 1
Mg1 0.500 0.500 0.500 1
# Symmetry ... No. 216
# Fermi-level density of states ... 1.8 states/eV/cell

---

Record 6
# GGA-PBE Ho2Mg3Pt4, relaxed
data_Ho2Mg3Pt4
_chemical_formula_sum 'Ho4 Mg6 Pt8'
_cell_length_a 7.112
_cell_length_b 7.291
_cell_length_c 7.270
_cell_angle_alpha 90.00
_cell_angle_beta 90.00
_cell_angle_gamma 110.21
_symmetry_space_group_name_H-M 'P 1'
_symmetry_Int_Tables_number 1
_symmetry_space_group_name_Hall 'P 1'
loop_
_atom_site_label
_atom_site_fract_x
_atom_site_fract_y
_atom_site_fract_z
_atom_site_occupancy
Pt1 0.843 0.075 0.537 1
Pt2 0.137 0.514 0.863 1
Pt3 0.657 0.925 0.037 1
Pt4 0.343 0.075 0.963 1
Pt5 0.863 0.486 0.137 1
Pt6 0.637 0.514 0.637 1
Pt7 0.157 0.925 0.463 1
Pt8 0.363 0.486 0.363 1
Mg1 0.746 0.254 0.830 1
Mg2 0.000 0.500 0.500 1
Mg3 0.754 0.746 0.330 1
Mg4 0.254 0.746 0.170 1
Mg5 0.500 0.500 0.000 1
Mg6 0.246 0.254 0.670 1
Ho1 0.445 0.810 0.674 1
Ho2 0.055 0.190 0.174 1
Ho3 0.555 0.190 0.326 1
Ho4 0.945 0.810 0.826 1
# Symmetry ... No. 14
# Fermi-level density of states ... 6.3 states/eV/cell

---

Values for uncorrected energy, eV per atom, ordered as above
-4.7875; -4.3631; -5.8755; -4.2722; -4.9229; -5.2341
Values for calculated volume, A^3/atom, ordered as above
21.51; 28.17; 23.74; 28.50; 24.00; 19.65